## P
Density functional theory data (PBE) for a geometry-optimized RbHg6Pb2 structure.

The structure in CIF format:
```
data_RbHg6Pb2
_cell_length_a 3.3857
_cell_length_b 9.4332
_cell_length_c 9.4332
_cell_angle_alpha 120.00
_cell_angle_beta 90.00
_cell_angle_gamma 90.00
_symmetry_space_group_name_H-M 'P 1'
_symmetry_Int_Tables_number 1
loop_
_symmetry_equiv_pos_as_xyz
'x,y,z'
loop_
_atom_site_label
_atom_site_type_symbol
_atom_site_fract_x
_atom_site_fract_y
_atom_site_fract_z
Hg1 Hg 0.5000 0.0000 0.6606
Hg2 Hg 0.5000 0.6606 0.6606
Hg3 Hg 0.5000 0.6606 0.0000
Hg4 Hg 0.5000 0.3394 0.3394
Hg5 Hg 0.5000 0.0000 0.3394
Hg6 Hg 0.5000 0.3394 0.0000
Rb1 Rb 0.0000 0.0000 0.0000
Pb1 Pb 0.0000 0.6667 0.3333
Pb2 Pb 0.0000 0.3333 0.6667
```

Summary:
DOS(E_F)	0.441	states/eV/atom
symmetry	No. 191
total magnetization	0.000	μB/cell

## Q
Density functional theory data (PBE) for a geometry-optimized RbHg6Pb2 structure.

The structure in CIF format:
```
data_RbHg6Pb2
_cell_length_a 4.9046
_cell_length_b 8.5801
_cell_length_c 8.5801
_cell_angle_alpha 60.43
_cell_angle_beta 73.39
_cell_angle_gamma 73.39
_symmetry_space_group_name_H-M 'P 1'
_symmetry_Int_Tables_number 1
loop_
_symmetry_equiv_pos_as_xyz
'x,y,z'
loop_
_atom_site_label
_atom_site_type_symbol
_atom_site_fract_x
_atom_site_fract_y
_atom_site_fract_z
Hg1 Hg 0.1917 0.1150 0.5017
Hg2 Hg 0.1917 0.5017 0.1150
Hg3 Hg 0.0000 0.1794 0.8206
Hg4 Hg 0.8083 0.8850 0.4983
Hg5 Hg 0.8083 0.4983 0.8850
Hg6 Hg 0.0000 0.8206 0.1794
Pb1 Pb 0.3804 0.1196 0.1196
Pb2 Pb 0.6196 0.8804 0.8804
Rb1 Rb 0.5000 0.5000 0.5000
```

Summary:
DOS(E_F)	0.240	states/eV/atom
symmetry	No. 71
total magnetization	0.000	μB/cell

Q: Which of them is the most stable? A: Q.

## P
Density functional theory data (PBE) for a geometry-optimized RbHg4Pb2 structure.

The structure in CIF format:
```
data_RbHg4Pb2
_cell_length_a 5.3429
_cell_length_b 5.2978
_cell_length_c 8.5879
_cell_angle_alpha 107.97
_cell_angle_beta 90.00
_cell_angle_gamma 90.00
_symmetry_space_group_name_H-M 'P 1'
_symmetry_Int_Tables_number 1
loop_
_symmetry_equiv_pos_as_xyz
'x,y,z'
loop_
_atom_site_label
_atom_site_type_symbol
_atom_site_fract_x
_atom_site_fract_y
_atom_site_fract_z
Pb1 Pb 0.5000 0.5981 0.1961
Pb2 Pb 0.5000 0.4019 0.8039
Hg1 Hg 0.5000 0.8117 0.6235
Hg2 Hg 0.0000 0.6964 0.3929
Hg3 Hg 0.0000 0.3036 0.6071
Hg4 Hg 0.5000 0.1883 0.3765
Rb1 Rb 0.0000 0.0000 0.0000
```

Summary:
DOS(E_F)	0.371	states/eV/atom
symmetry	No. 65
total magnetization	0.000	μB/cell

## Q
Density functional theory data (PBE) for a geometry-optimized RbHg4Pb2 structure.

The structure in CIF format:
```
data_RbHg4Pb2
_cell_length_a 6.5483
_cell_length_b 6.6339
_cell_length_c 10.6866
_cell_angle_alpha 108.08
_cell_angle_beta 90.16
_cell_angle_gamma 90.00
_symmetry_space_group_name_H-M 'P 1'
_symmetry_Int_Tables_number 1
loop_
_symmetry_equiv_pos_as_xyz
'x,y,z'
loop_
_atom_site_label
_atom_site_type_symbol
_atom_site_fract_x
_atom_site_fract_y
_atom_site_fract_z
Hg1 Hg 0.5001 0.1463 0.3001
Hg2 Hg 0.4999 0.8537 0.6999
Hg3 Hg 0.2511 0.4217 0.1622
Hg4 Hg 0.0001 0.1538 0.3001
Hg5 Hg 0.7511 0.7405 0.1622
Hg6 Hg 0.7489 0.5783 0.8378
Hg7 Hg 0.2489 0.2595 0.8378
Hg8 Hg 0.9999 0.8462 0.6999
Rb1 Rb 0.2500 0.8093 0.0000
Rb2 Rb 0.7500 0.1907 0.0000
Pb1 Pb 0.7562 0.1869 0.5798
Pb2 Pb 0.7438 0.6071 0.4202
Pb3 Pb 0.2562 0.3929 0.5798
Pb4 Pb 0.2438 0.8131 0.4202
```

Summary:
DOS(E_F)	0.379	states/eV/atom
symmetry	No. 15
total magnetization	0.000	μB/cell

Q: Which of them is the most stable? A: Q.

## P
Density functional theory data (PBE) for a geometry-optimized Rb3HgPb structure.

The structure in CIF format:
```
data_Rb3HgPb
_cell_length_a 9.1043
_cell_length_b 9.1043
_cell_length_c 8.6270
_cell_angle_alpha 106.51
_cell_angle_beta 119.92
_cell_angle_gamma 104.95
_symmetry_space_group_name_H-M 'P 1'
_symmetry_Int_Tables_number 1
loop_
_symmetry_equiv_pos_as_xyz
'x,y,z'
loop_
_atom_site_label
_atom_site_type_symbol
_atom_site_fract_x
_atom_site_fract_y
_atom_site_fract_z
Rb1 Rb 0.2723 0.5552 0.8275
Rb2 Rb 0.1815 0.9851 0.7744
Rb3 Rb 0.7277 0.4448 0.1725
Rb4 Rb 0.2106 0.4071 0.2256
Rb5 Rb 0.8185 0.0149 0.2256
Rb6 Rb 0.7894 0.5929 0.7744
Pb1 Pb 0.3366 0.9292 0.2658
Pb2 Pb 0.6634 0.0708 0.7342
Hg1 Hg 0.3586 0.2215 0.5801
Hg2 Hg 0.6414 0.7785 0.4199
```

Summary:
DOS(E_F)	0.674	states/eV/atom
symmetry	No. 12
total magnetization	0.000	μB/cell

## Q
Density functional theory data (PBE) for a geometry-optimized Rb3HgPb structure.

The structure in CIF format:
```
data_Rb3HgPb
_cell_length_a 7.2223
_cell_length_b 7.2223
_cell_length_c 7.2223
_cell_angle_alpha 90.00
_cell_angle_beta 90.00
_cell_angle_gamma 90.00
_symmetry_space_group_name_H-M 'P 1'
_symmetry_Int_Tables_number 1
loop_
_symmetry_equiv_pos_as_xyz
'x,y,z'
loop_
_atom_site_label
_atom_site_type_symbol
_atom_site_fract_x
_atom_site_fract_y
_atom_site_fract_z
Hg1 Hg 0.5000 0.5000 0.5000
Rb1 Rb 0.5000 0.0000 0.0000
Rb2 Rb 0.0000 0.0000 0.5000
Rb3 Rb 0.0000 0.5000 0.0000
Pb1 Pb 0.0000 0.0000 0.0000
```

Summary:
DOS(E_F)	0.360	states/eV/atom
symmetry	No. 221
total magnetization	1.000	μB/cell

Q: Which of them is the most stable? A: P.

## P
Density functional theory data (PBE) for a geometry-optimized RbHgSbPb structure.

The structure in CIF format:
```
data_RbHgSbPb
_cell_length_a 4.8254
_cell_length_b 4.8254
_cell_length_c 8.4703
_cell_angle_alpha 73.45
_cell_angle_beta 73.45
_cell_angle_gamma 60.00
_symmetry_space_group_name_H-M 'P 1'
_symmetry_Int_Tables_number 1
loop_
_symmetry_equiv_pos_as_xyz
'x,y,z'
loop_
_atom_site_label
_atom_site_type_symbol
_atom_site_fract_x
_atom_site_fract_y
_atom_site_fract_z
Sb1 Sb 0.0346 0.0346 0.8962
Hg1 Hg 0.2408 0.2408 0.2775
Pb1 Pb 0.6431 0.6431 0.0706
Rb1 Rb 0.8073 0.8073 0.5781
```

Summary:
DOS(E_F)	0.055	states/eV/atom
symmetry	No. 160
total magnetization	0.000	μB/cell

## Q
Density functional theory data (PBE) for a geometry-optimized RbHgSbPb structure.

The structure in CIF format:
```
data_RbHgSbPb
_cell_length_a 5.7675
_cell_length_b 5.7675
_cell_length_c 5.7675
_cell_angle_alpha 60.00
_cell_angle_beta 60.00
_cell_angle_gamma 60.00
_symmetry_space_group_name_H-M 'P 1'
_symmetry_Int_Tables_number 1
loop_
_symmetry_equiv_pos_as_xyz
'x,y,z'
loop_
_atom_site_label
_atom_site_type_symbol
_atom_site_fract_x
_atom_site_fract_y
_atom_site_fract_z
Rb1 Rb 0.0000 0.0000 0.0000
Pb1 Pb 0.5000 0.5000 0.5000
Hg1 Hg 0.7500 0.7500 0.7500
Sb1 Sb 0.2500 0.2500 0.2500
```

Summary:
DOS(E_F)	0.018	states/eV/atom
symmetry	No. 216
total magnetization	0.000	μB/cell

Q: Which of them is the most stable? A: P.

## P
Density functional theory data (PBE) for a geometry-optimized Re3HgPb structure.

The structure in CIF format:
```
data_Re3HgPb
_cell_length_a 4.9757
_cell_length_b 4.9757
_cell_length_c 4.9757
_cell_angle_alpha 90.00
_cell_angle_beta 90.00
_cell_angle_gamma 90.00
_symmetry_space_group_name_H-M 'P 1'
_symmetry_Int_Tables_number 1
loop_
_symmetry_equiv_pos_as_xyz
'x,y,z'
loop_
_atom_site_label
_atom_site_type_symbol
_atom_site_fract_x
_atom_site_fract_y
_atom_site_fract_z
Pb1 Pb 0.5000 0.5000 0.5000
Re1 Re 0.0000 0.5000 0.0000
Re2 Re 0.5000 0.0000 0.0000
Re3 Re 0.0000 0.0000 0.5000
Hg1 Hg 0.0000 0.0000 0.0000
```

Summary:
DOS(E_F)	1.317	states/eV/atom
symmetry	No. 221
total magnetization	4.722	μB/cell

## Q
Density functional theory data (PBE) for a geometry-optimized Re3HgPb structure.

The structure in CIF format:
```
data_Re3HgPb
_cell_length_a 4.9932
_cell_length_b 4.9932
_cell_length_c 4.9932
_cell_angle_alpha 90.00
_cell_angle_beta 90.00
_cell_angle_gamma 90.00
_symmetry_space_group_name_H-M 'P 1'
_symmetry_Int_Tables_number 1
loop_
_symmetry_equiv_pos_as_xyz
'x,y,z'
loop_
_atom_site_label
_atom_site_type_symbol
_atom_site_fract_x
_atom_site_fract_y
_atom_site_fract_z
Re1 Re 0.5000 0.0000 0.0000
Re2 Re 0.0000 0.0000 0.5000
Re3 Re 0.0000 0.5000 0.0000
Pb1 Pb 0.0000 0.0000 0.0000
Hg1 Hg 0.5000 0.5000 0.5000
```

Summary:
DOS(E_F)	1.295	states/eV/atom
symmetry	No. 221
total magnetization	3.853	μB/cell

Q: Which of them is the most stable? A: P.

## P
Density functional theory data (PBE) for a geometry-optimized Re2Hg2Pb structure.

The structure in CIF format:
```
data_Re2Hg2Pb
_cell_length_a 4.2595
_cell_length_b 4.2595
_cell_length_c 6.8316
_cell_angle_alpha 71.84
_cell_angle_beta 71.84
_cell_angle_gamma 90.00
_symmetry_space_group_name_H-M 'P 1'
_symmetry_Int_Tables_number 1
loop_
_symmetry_equiv_pos_as_xyz
'x,y,z'
loop_
_atom_site_label
_atom_site_type_symbol
_atom_site_fract_x
_atom_site_fract_y
_atom_site_fract_z
Re1 Re 0.4081 0.4081 0.1838
Re2 Re 0.5919 0.5919 0.8162
Pb1 Pb 0.0000 0.0000 0.0000
Hg1 Hg 0.7500 0.2500 0.5000
Hg2 Hg 0.2500 0.7500 0.5000
```

Summary:
DOS(E_F)	0.948	states/eV/atom
symmetry	No. 139
total magnetization	0.000	μB/cell

## Q
Density functional theory data (PBE) for a geometry-optimized Re2Hg2Pb structure.

The structure in CIF format:
```
data_Re2Hg2Pb
_cell_length_a 8.4606
_cell_length_b 8.4606
_cell_length_c 2.9449
_cell_angle_alpha 90.00
_cell_angle_beta 90.00
_cell_angle_gamma 90.00
_symmetry_space_group_name_H-M 'P 1'
_symmetry_Int_Tables_number 1
loop_
_symmetry_equiv_pos_as_xyz
'x,y,z'
loop_
_atom_site_label
_atom_site_type_symbol
_atom_site_fract_x
_atom_site_fract_y
_atom_site_fract_z
Pb1 Pb 0.0000 0.0000 0.0000
Pb2 Pb 0.5000 0.5000 0.0000
Re1 Re 0.4022 0.9022 0.0000
Re2 Re 0.9022 0.5978 0.0000
Re3 Re 0.5978 0.0978 0.0000
Re4 Re 0.0978 0.4022 0.0000
Hg1 Hg 0.8073 0.3073 0.5000
Hg2 Hg 0.3073 0.1927 0.5000
Hg3 Hg 0.1927 0.6927 0.5000
Hg4 Hg 0.6927 0.8073 0.5000
```

Summary:
DOS(E_F)	0.758	states/eV/atom
symmetry	No. 127
total magnetization	0.000	μB/cell

Q: Which of them is the most stable? A: Q.

## P
Density functional theory data (PBE) for a geometry-optimized HgRhPb structure.

The structure in CIF format:
```
data_HgRhPb
_cell_length_a 6.6446
_cell_length_b 6.6446
_cell_length_c 6.6446
_cell_angle_alpha 151.63
_cell_angle_beta 151.63
_cell_angle_gamma 40.55
_symmetry_space_group_name_H-M 'P 1'
_symmetry_Int_Tables_number 1
loop_
_symmetry_equiv_pos_as_xyz
'x,y,z'
loop_
_atom_site_label
_atom_site_type_symbol
_atom_site_fract_x
_atom_site_fract_y
_atom_site_fract_z
Rh1 Rh 0.6663 0.6663 0.0000
Hg1 Hg 0.0272 0.0272 0.0000
Pb1 Pb 0.3065 0.3065 0.0000
```

Summary:
DOS(E_F)	0.646	states/eV/atom
symmetry	No. 107
total magnetization	0.000	μB/cell

## Q
Density functional theory data (PBE) for a geometry-optimized HgRhPb structure.

The structure in CIF format:
```
data_HgRhPb
_cell_length_a 4.6775
_cell_length_b 4.6775
_cell_length_c 3.4559
_cell_angle_alpha 90.00
_cell_angle_beta 90.00
_cell_angle_gamma 120.00
_symmetry_space_group_name_H-M 'P 1'
_symmetry_Int_Tables_number 1
loop_
_symmetry_equiv_pos_as_xyz
'x,y,z'
loop_
_atom_site_label
_atom_site_type_symbol
_atom_site_fract_x
_atom_site_fract_y
_atom_site_fract_z
Rh1 Rh 0.3333 0.6667 0.6297
Hg1 Hg 0.0000 0.0000 0.9494
Pb1 Pb 0.6667 0.3333 0.4209
```

Summary:
DOS(E_F)	0.413	states/eV/atom
symmetry	No. 156
total magnetization	0.000	μB/cell

## R
Density functional theory data (PBE) for a geometry-optimized HgRhPb structure.

The structure in CIF format:
```
data_HgRhPb
_cell_length_a 3.3819
_cell_length_b 3.3819
_cell_length_c 6.7868
_cell_angle_alpha 90.00
_cell_angle_beta 90.00
_cell_angle_gamma 120.00
_symmetry_space_group_name_H-M 'P 1'
_symmetry_Int_Tables_number 1
loop_
_symmetry_equiv_pos_as_xyz
'x,y,z'
loop_
_atom_site_label
_atom_site_type_symbol
_atom_site_fract_x
_atom_site_fract_y
_atom_site_fract_z
Pb1 Pb 0.6667 0.3333 0.3721
Rh1 Rh 0.3333 0.6667 0.6621
Hg1 Hg 0.0000 0.0000 0.9658
```

Summary:
DOS(E_F)	0.757	states/eV/atom
symmetry	No. 156
total magnetization	0.000	μB/cell

Q: Which of them is the most stable? A: P.

## P
Density functional theory data (PBE) for a geometry-optimized HgRhPb4 structure.

The structure in CIF format:
```
data_HgRhPb4
_cell_length_a 6.0073
_cell_length_b 8.7957
_cell_length_c 8.0084
_cell_angle_alpha 115.93
_cell_angle_beta 102.19
_cell_angle_gamma 107.37
_symmetry_space_group_name_H-M 'P 1'
_symmetry_Int_Tables_number 1
loop_
_symmetry_equiv_pos_as_xyz
'x,y,z'
loop_
_atom_site_label
_atom_site_type_symbol
_atom_site_fract_x
_atom_site_fract_y
_atom_site_fract_z
Rh1 Rh 0.2571 0.0071 0.0142
Rh2 Rh 0.7429 0.9929 0.9858
Pb1 Pb 0.9495 0.8008 0.1510
Pb2 Pb 0.6315 0.0549 0.3416
Pb3 Pb 0.7899 0.7133 0.6584
Pb4 Pb 0.0505 0.1992 0.8490
Pb5 Pb 0.3685 0.9451 0.6584
Pb6 Pb 0.2101 0.2867 0.3416
Pb7 Pb 0.7015 0.3503 0.1510
Pb8 Pb 0.2985 0.6497 0.8490
Hg1 Hg 0.6270 0.3770 0.7539
Hg2 Hg 0.3730 0.6230 0.2461
```

Summary:
DOS(E_F)	0.600	states/eV/atom
symmetry	No. 15
total magnetization	0.000	μB/cell

## Q
Density functional theory data (PBE) for a geometry-optimized HgRhPb4 structure.

The structure in CIF format:
```
data_HgRhPb4
_cell_length_a 6.2874
_cell_length_b 6.2874
_cell_length_c 6.2874
_cell_angle_alpha 60.00
_cell_angle_beta 60.00
_cell_angle_gamma 60.00
_symmetry_space_group_name_H-M 'P 1'
_symmetry_Int_Tables_number 1
loop_
_symmetry_equiv_pos_as_xyz
'x,y,z'
loop_
_atom_site_label
_atom_site_type_symbol
_atom_site_fract_x
_atom_site_fract_y
_atom_site_fract_z
Pb1 Pb 0.3758 0.3758 0.8727
Pb2 Pb 0.3758 0.8727 0.3758
Pb3 Pb 0.8727 0.3758 0.3758
Pb4 Pb 0.3758 0.3758 0.3758
Rh1 Rh 0.7500 0.7500 0.7500
Hg1 Hg 0.0000 0.0000 0.0000
```

Summary:
DOS(E_F)	0.626	states/eV/atom
symmetry	No. 216
total magnetization	0.000	μB/cell

Q: Which of them is the most stable? A: P.